Record 1
Density functional theory data (GGA-PBE) for a relaxed YCoMo2 crystal.

Output
The density of states at the Fermi level comes out at 4.320 states/eV/f.u. As for the crystal system: monoclinic. Its formation energy from the elements is 343 meV per atom. The space-group type is Pm, No. 6. For the energy above the most stable polymorph in this dataset, the calculation gives 147 meV/atom.

abc: 2.938 4.122 5.972
angles: 90.00 102.84 90.00
Atoms (fractional coordinates):
Y1 0.000 0.000 0.000
Co1 0.716 0.500 0.284
Mo1 0.293 0.500 0.685
Mo2 0.489 0.000 0.485

Record 2
Density functional theory data (GGA-PBE) for a relaxed TbCo4B4 crystal.

Output
The density of states at the Fermi level comes out at 4.674 states/eV/f.u. As for the crystal system: tetragonal. Its formation energy from the elements is -512 meV per atom. The space-group type is P4_2/n, No. 86. For the energy above the most stable polymorph in this dataset, the calculation gives 0 meV/atom.

abc: 6.953 6.953 3.808
angles: 90.00 90.00 90.00
Atoms (fractional coordinates):
Tb1 0.250 0.250 0.250
Tb2 0.750 0.750 0.750
Co1 0.108 0.632 0.141
Co2 0.132 0.892 0.641
Co3 0.368 0.608 0.641
Co4 0.392 0.868 0.141
Co5 0.608 0.132 0.859
Co6 0.632 0.392 0.359
Co7 0.868 0.108 0.359
Co8 0.892 0.368 0.859
B1 0.049 0.913 0.145
B2 0.087 0.549 0.645
B3 0.413 0.951 0.645
B4 0.451 0.587 0.145
B5 0.549 0.413 0.855
B6 0.587 0.049 0.355
B7 0.913 0.451 0.355
B8 0.951 0.087 0.855

Record 3
Density functional theory data (GGA-PBE) for a relaxed Cs3SI crystal.

Output
The density of states at the Fermi level comes out at 0.000 states/eV/f.u. The value obtained for the uncorrected formation energy is -1143 meV per atom. As for the crystal system: cubic. The space-group type is Pm-3m, No. 221. For the energy above the most stable polymorph in this dataset, the calculation gives 74 meV/atom.

abc: 6.697 6.697 6.697
angles: 90.00 90.00 90.00
Atoms (fractional coordinates):
Cs1 0.000 0.000 0.500
Cs2 0.000 0.500 0.000
Cs3 0.500 0.000 0.000
S1 0.000 0.000 0.000
I1 0.500 0.500 0.500

Record 4
Density functional theory data (GGA-PBE) for a relaxed CaZrP crystal.

Output
The density of states at the Fermi level comes out at 1.464 states/eV/f.u. As for the crystal system: tetragonal. Its formation energy from the elements is -902 meV per atom. The space-group type is I-4m2, No. 119.

abc: 3.669 3.669 22.363
angles: 90.00 90.00 90.00
Atoms (fractional coordinates):
Ca1 0.000 0.000 0.182
Ca2 0.000 0.000 0.818
Ca3 0.500 0.500 0.318
Ca4 0.500 0.500 0.682
Zr1 0.000 0.500 0.546
Zr2 0.000 0.500 0.954
Zr3 0.500 0.000 0.046
Zr4 0.500 0.000 0.454
P1 0.000 0.500 0.075
P2 0.000 0.500 0.425
P3 0.500 0.000 0.575
P4 0.500 0.000 0.925

Record 5
Density functional theory data (GGA-PBE) for a relaxed AcTh2IrN4 crystal.

Output
The density of states at the Fermi level comes out at 3.424 states/eV/f.u. The value obtained for the uncorrected formation energy is -1059 meV per atom. As for the crystal system: orthorhombic. The space-group type is Cmcm, No. 63.

abc: 6.469 6.469 12.212
angles: 90.00 90.00 148.28
Atoms (fractional coordinates):
Ac1 0.106 0.894 0.750
Ac2 0.894 0.106 0.250
Th1 0.369 0.631 0.554
Th2 0.369 0.631 0.946
Th3 0.631 0.369 0.054
Th4 0.631 0.369 0.446
Ir1 0.156 0.844 0.250
Ir2 0.844 0.156 0.750
N1 0.000 0.000 0.000
N2 0.000 0.000 0.500
N3 0.273 0.727 0.117
N4 0.273 0.727 0.383
N5 0.446 0.554 0.750
N6 0.554 0.446 0.250
N7 0.727 0.273 0.617
N8 0.727 0.273 0.883

Record 6
Density functional theory data (GGA-PBE) for a relaxed Li2TaSiRh crystal.

Output
The density of states at the Fermi level comes out at 3.390 states/eV/f.u. The value obtained for the uncorrected formation energy is 550 meV per atom. As for the crystal system: tetragonal. The space-group type is P4/mmm, No. 123.

abc: 4.223 4.223 4.398
angles: 90.00 90.00 90.00
Atoms (fractional coordinates):
Li1 0.000 0.500 0.000
Li2 0.500 0.000 0.000
Ta1 0.000 0.000 0.500
Si1 0.500 0.500 0.000
Rh1 0.500 0.500 0.500

Record 7
Density functional theory data (GGA-PBE) for a relaxed TePdS2I crystal.

Output
The density of states at the Fermi level comes out at 5.825 states/eV/f.u. The value obtained for the uncorrected formation energy is 1145 meV per atom. As for the crystal system: tetragonal. The space-group type is P4/mmm, No. 123.

abc: 4.934 4.934 6.109
angles: 90.00 90.00 90.00
Atoms (fractional coordinates):
Te1 0.000 0.000 0.000
Pd1 0.500 0.500 0.000
S1 0.000 0.500 0.500
S2 0.500 0.000 0.500
I1 0.000 0.000 0.500

Record 8
Density functional theory data (GGA-PBE) for a relaxed TmBe2CoSi crystal.

Output
The density of states at the Fermi level comes out at 3.021 states/eV/f.u. The value obtained for the uncorrected formation energy is -388 meV per atom. As for the crystal system: orthorhombic. The space-group type is Imm2, No. 44.

abc: 3.791 3.797 9.336
angles: 90.00 90.00 90.00
Atoms (fractional coordinates):
Tm1 0.000 0.000 0.000
Tm2 0.500 0.500 0.500
Be1 0.000 0.000 0.375
Be2 0.000 0.500 0.255
Be3 0.500 0.000 0.755
Be4 0.500 0.500 0.875
Co1 0.000 0.500 0.757
Co2 0.500 0.000 0.257
Si1 0.000 0.000 0.624
Si2 0.500 0.500 0.124

Record 9
Density functional theory data (GGA-PBE) for a relaxed YScRuO6 crystal.

Output
The density of states at the Fermi level comes out at 4.288 states/eV/f.u. The value obtained for the uncorrected formation energy is -2275 meV per atom. As for the crystal system: trigonal. The space-group type is P-31c, No. 163.

abc: 5.276 5.276 9.707
angles: 90.00 90.00 120.00
Atoms (fractional coordinates):
Y1 0.000 0.000 0.000
Y2 0.000 0.000 0.500
Sc1 0.333 0.667 0.250
Sc2 0.667 0.333 0.750
Ru1 0.333 0.667 0.750
Ru2 0.667 0.333 0.250
O1 0.024 0.366 0.638
O2 0.024 0.657 0.862
O3 0.343 0.366 0.862
O4 0.343 0.976 0.638
O5 0.366 0.024 0.138
O6 0.366 0.343 0.362
O7 0.634 0.657 0.638
O8 0.634 0.976 0.862
O9 0.657 0.024 0.362
O10 0.657 0.634 0.138
O11 0.976 0.343 0.138
O12 0.976 0.634 0.362

Record 10
Density functional theory data (GGA-PBE) for a relaxed CrW crystal.

Output
The density of states at the Fermi level comes out at 2.251 states/eV/f.u. As for the crystal system: orthorhombic. Its formation energy from the elements is 785 meV per atom. The space-group type is Fddd, No. 70.

abc: 6.197 5.727 5.054
angles: 69.86 60.18 49.96
Atoms (fractional coordinates):
Cr1 0.057 0.693 0.693
Cr2 0.307 0.943 0.943
Cr3 0.693 0.057 0.057
Cr4 0.943 0.307 0.307
W1 0.186 0.564 0.186
W2 0.436 0.814 0.436
W3 0.564 0.186 0.564
W4 0.814 0.436 0.814

Record 11
Density functional theory data (GGA-PBE) for a relaxed TcOsAu crystal.

Output
The density of states at the Fermi level comes out at 3.189 states/eV/f.u. As for the crystal system: orthorhombic. Its formation energy from the elements is 509 meV per atom. The space-group type is Fmm2, No. 42. For the energy above the most stable polymorph in this dataset, the calculation gives 319 meV/atom.

abc: 2.843 4.653 14.585
angles: 90.00 90.00 90.00
Atoms (fractional coordinates):
Tc1 0.000 0.000 0.000
Tc2 0.000 0.500 0.500
Tc3 0.500 0.000 0.500
Tc4 0.500 0.500 0.000
Os1 0.000 0.000 0.354
Os2 0.000 0.500 0.854
Os3 0.500 0.000 0.854
Os4 0.500 0.500 0.354
Au1 0.000 0.000 0.676
Au2 0.000 0.500 0.176
Au3 0.500 0.000 0.176
Au4 0.500 0.500 0.676

Record 12
Density functional theory data (GGA-PBE) for a relaxed Ba3Bi4Au2 crystal.

Output
The density of states at the Fermi level comes out at 3.703 states/eV/f.u. As for the crystal system: monoclinic. Its formation energy from the elements is -670 meV per atom. The space-group type is C2/m, No. 12. For the energy above the most stable polymorph in this dataset, the calculation gives 0 meV/atom.

abc: 7.139 7.139 9.940
angles: 102.61 102.61 41.76
Atoms (fractional coordinates):
Ba1 0.000 0.000 0.000
Ba2 0.342 0.342 0.329
Ba3 0.658 0.658 0.671
Bi1 0.075 0.075 0.394
Bi2 0.286 0.286 0.927
Bi3 0.714 0.714 0.073
Bi4 0.925 0.925 0.606
Au1 0.412 0.412 0.728
Au2 0.588 0.588 0.272

Record 13
Density functional theory data (GGA-PBE) for a relaxed Ca2Se crystal.

Output
The density of states at the Fermi level comes out at 1.481 states/eV/f.u. The value obtained for the uncorrected formation energy is -1136 meV per atom. As for the crystal system: monoclinic. The space-group type is C2/m, No. 12.

abc: 12.021 3.916 9.843
angles: 90.00 124.26 90.00
Atoms (fractional coordinates):
Ca1 0.058 0.000 0.356
Ca2 0.180 0.500 0.107
Ca3 0.320 0.000 0.893
Ca4 0.442 0.500 0.644
Ca5 0.558 0.500 0.356
Ca6 0.680 0.000 0.107
Ca7 0.820 0.500 0.893
Ca8 0.942 0.000 0.644
Se1 0.182 0.500 0.627
Se2 0.318 0.000 0.373
Se3 0.682 0.000 0.627
Se4 0.818 0.500 0.373

Record 14
Density functional theory data (GGA-PBE) for a relaxed LaNdZnAg crystal.

Output
The density of states at the Fermi level comes out at 4.089 states/eV/f.u. As for the crystal system: cubic. Its formation energy from the elements is -272 meV per atom. The space-group type is F-43m, No. 216. For the energy above the most stable polymorph in this dataset, the calculation gives 17 meV/atom.

abc: 7.535 7.535 7.535
angles: 90.00 90.00 90.00
Atoms (fractional coordinates):
La1 0.000 0.000 0.000
La2 0.000 0.500 0.500
La3 0.500 0.000 0.500
La4 0.500 0.500 0.000
Nd1 0.000 0.000 0.500
Nd2 0.000 0.500 0.000
Nd3 0.500 0.000 0.000
Nd4 0.500 0.500 0.500
Zn1 0.250 0.250 0.750
Zn2 0.250 0.750 0.250
Zn3 0.750 0.250 0.250
Zn4 0.750 0.750 0.750
Ag1 0.250 0.250 0.250
Ag2 0.250 0.750 0.750
Ag3 0.750 0.250 0.750
Ag4 0.750 0.750 0.250

Record 15
Density functional theory data (GGA-PBE) for a relaxed Sm3CBr3 crystal.

Output
The density of states at the Fermi level comes out at 3.554 states/eV/f.u. The value obtained for the uncorrected formation energy is -967 meV per atom. As for the crystal system: monoclinic. The space-group type is C2/m, No. 12. For the energy above the most stable polymorph in this dataset, the calculation gives 338 meV/atom.

abc: 7.679 7.679 8.527
angles: 108.25 108.25 103.00
Atoms (fractional coordinates):
Sm1 0.012 0.012 0.300
Sm2 0.188 0.495 0.709
Sm3 0.495 0.188 0.709
Sm4 0.505 0.812 0.291
Sm5 0.812 0.505 0.291
Sm6 0.988 0.988 0.700
C1 0.185 0.185 0.612
C2 0.815 0.815 0.388
Br1 0.166 0.834 0.000
Br2 0.284 0.716 0.500
Br3 0.374 0.374 0.113
Br4 0.626 0.626 0.887
Br5 0.716 0.284 0.500
Br6 0.834 0.166 0.000

Record 16
Density functional theory data (GGA-PBE) for a relaxed AcTiSe3 crystal.

Output
The density of states at the Fermi level comes out at 2.120 states/eV/f.u. The value obtained for the uncorrected formation energy is -1580 meV per atom. As for the crystal system: orthorhombic. The space-group type is Pnma, No. 62. For the energy above the most stable polymorph in this dataset, the calculation gives 0 meV/atom.

abc: 8.482 4.036 14.342
angles: 90.00 90.00 90.00
Atoms (fractional coordinates):
Ac1 0.083 0.250 0.169
Ac2 0.417 0.750 0.669
Ac3 0.583 0.250 0.331
Ac4 0.917 0.750 0.831
Ti1 0.141 0.750 0.451
Ti2 0.359 0.250 0.951
Ti3 0.641 0.750 0.049
Ti4 0.859 0.250 0.549
Se1 0.027 0.750 0.614
Se2 0.167 0.750 0.005
Se3 0.204 0.250 0.791
Se4 0.296 0.750 0.291
Se5 0.333 0.250 0.505
Se6 0.473 0.250 0.114
Se7 0.527 0.750 0.886
Se8 0.667 0.750 0.495
Se9 0.704 0.250 0.709
Se10 0.796 0.750 0.209
Se11 0.833 0.250 0.995
Se12 0.973 0.250 0.386

Record 17
Density functional theory data (GGA-PBE) for a relaxed YNbCu2Os crystal.

Output
The density of states at the Fermi level comes out at 4.665 states/eV/f.u. As for the crystal system: tetragonal. Its formation energy from the elements is 2264 meV per atom. The space-group type is P4/mmm, No. 123. For the energy above the most stable polymorph in this dataset, the calculation gives 415 meV/atom.

abc: 4.646 4.646 4.928
angles: 90.00 90.00 90.00
Atoms (fractional coordinates):
Y1 0.000 0.000 0.000
Nb1 0.000 0.000 0.500
Cu1 0.000 0.500 0.000
Cu2 0.500 0.000 0.000
Os1 0.500 0.500 0.500

Record 18
Density functional theory data (GGA-PBE) for a relaxed Dy2PuU2Ru5 crystal.

Output
The density of states at the Fermi level comes out at 15.013 states/eV/f.u. As for the crystal system: tetragonal. Its formation energy from the elements is -214 meV per atom. The space-group type is P4/mbm, No. 127.

abc: 10.580 10.580 3.568
angles: 90.00 90.00 90.00
Atoms (fractional coordinates):
Dy1 0.174 0.326 0.000
Dy2 0.326 0.826 0.000
Dy3 0.674 0.174 0.000
Dy4 0.826 0.674 0.000
Pu1 0.000 0.000 0.000
Pu2 0.500 0.500 0.000
U1 0.136 0.636 0.000
U2 0.364 0.136 0.000
U3 0.636 0.864 0.000
U4 0.864 0.364 0.000
Ru1 0.000 0.500 0.500
Ru2 0.050 0.791 0.500
Ru3 0.209 0.050 0.500
Ru4 0.291 0.550 0.500
Ru5 0.450 0.291 0.500
Ru6 0.500 0.000 0.500
Ru7 0.550 0.709 0.500
Ru8 0.709 0.450 0.500
Ru9 0.791 0.950 0.500
Ru10 0.950 0.209 0.500

Record 19
Density functional theory data (GGA-PBE) for a relaxed YIn2Cu2 crystal.

Output
The density of states at the Fermi level comes out at 3.658 states/eV/f.u. As for the crystal system: tetragonal. Its formation energy from the elements is -7 meV per atom. The space-group type is P4/mbm, No. 127.

abc: 8.071 8.071 3.086
angles: 90.00 90.00 90.00
Atoms (fractional coordinates):
Y1 0.000 0.000 0.000
Y2 0.500 0.500 0.000
In1 0.133 0.367 0.000
In2 0.367 0.867 0.000
In3 0.633 0.133 0.000
In4 0.867 0.633 0.000
Cu1 0.166 0.666 0.500
Cu2 0.334 0.166 0.500
Cu3 0.666 0.834 0.500
Cu4 0.834 0.334 0.500

Record 20
Density functional theory data (GGA-PBE) for a relaxed KMn2Cl crystal.

Output
The density of states at the Fermi level comes out at 2.813 states/eV/f.u. The value obtained for the uncorrected formation energy is 215 meV per atom. As for the crystal system: tetragonal. The space-group type is I4/mmm, No. 139. For the energy above the most stable polymorph in this dataset, the calculation gives 164 meV/atom.

abc: 4.041 4.041 13.780
angles: 90.00 90.00 90.00
Atoms (fractional coordinates):
K1 0.000 0.000 0.000
K2 0.500 0.500 0.500
Mn1 0.000 0.500 0.250
Mn2 0.000 0.500 0.750
Mn3 0.500 0.000 0.250
Mn4 0.500 0.000 0.750
Cl1 0.000 0.000 0.500
Cl2 0.500 0.500 0.000

Record 21
Density functional theory data (GGA-PBE) for a relaxed Rb2HfPS6 crystal.

Output
The density of states at the Fermi level comes out at 5.565 states/eV/f.u. The value obtained for the uncorrected formation energy is -795 meV per atom. As for the crystal system: trigonal. The space-group type is P-3m1, No. 164.

abc: 7.271 7.271 5.987
angles: 90.00 90.00 120.00
Atoms (fractional coordinates):
Rb1 0.333 0.667 0.279
Rb2 0.667 0.333 0.721
Hf1 0.000 0.000 0.000
P1 0.000 0.000 0.500
S1 0.148 0.297 0.716
S2 0.148 0.852 0.716
S3 0.297 0.148 0.284
S4 0.703 0.852 0.716
S5 0.852 0.148 0.284
S6 0.852 0.703 0.284

Record 22
Density functional theory data (GGA-PBE) for a relaxed CuHPb3 crystal.

Output
The density of states at the Fermi level comes out at 1.180 states/eV/f.u. As for the crystal system: cubic. The space-group type is Pm-3m, No. 221. For the energy above the most stable polymorph in this dataset, the calculation gives 0 meV/atom.

abc: 4.858 4.858 4.858
angles: 90.00 90.00 90.00
Atoms (fractional coordinates):
Cu1 0.000 0.000 0.000
H1 0.500 0.500 0.500
Pb1 0.000 0.500 0.500
Pb2 0.500 0.000 0.500
Pb3 0.500 0.500 0.000